La3ReCl3O6: single point on PBEsol structure, SCAN.

- uncorrected formation energy (eV per atom) = -2.97
- magnetic moment (μB/cell) = 2.000
- space-group type = P6_3/m, No. 176

Structure (POSCAR):
```
La3ReCl3O6
1.0
-2.317 -0.720 -4.811
8.410 0.000 -4.051
-3.736 -8.011 2.999
O Cl La Re
12 6 6 2
Direct
0.520 0.524 0.362
0.520 0.638 0.162
0.480 0.362 0.838
0.980 0.638 0.162
0.980 0.524 0.362
0.480 0.476 0.638
0.020 0.476 0.638
0.520 0.838 0.476
0.020 0.362 0.838
0.020 0.162 0.524
0.480 0.162 0.524
0.980 0.838 0.476
0.250 0.192 0.240
0.750 0.240 0.048
0.750 0.808 0.760
0.250 0.760 0.952
0.750 0.952 0.192
0.250 0.048 0.808
0.750 0.596 0.907
0.750 0.093 0.688
0.250 0.688 0.596
0.250 0.404 0.093
0.250 0.907 0.312
0.750 0.312 0.404
0.250 0.333 0.667
0.750 0.667 0.333
```